Here is a geometry-optimized HfTiSb3 structure from the Alexandria database. Energies are from PBE-GGA.

Calculated values
* energy relative to the lowest polymorph listed for this composition: 0.00 eV per formula unit
* electronic total energy: -0.230 hartree per atom
* DOS(E_F): 3.14 states/eV/f.u.
* uncorrected formation energy: -0.2086 eV per atom

```
10
Lattice="1.8988 -9.1001 0.0000 1.8988 9.1001 0.0000 0.0000 0.0000 7.3750" Properties=species:S:1:pos:R:3 pbc="T T T"
Hf 1.8988 6.3365 3.6875
Hf 1.8988 -6.3365 0.0000
Ti 1.8988 2.9041 3.0171
Ti 1.8988 -2.9041 6.7046
Sb 1.8988 7.4787 0.9990
Sb 1.8988 4.2883 5.6967
Sb 1.8988 0.9571 1.1060
Sb 1.8988 -0.9571 4.7935
Sb 1.8988 -4.2883 2.0092
Sb 1.8988 -7.4787 4.6865
```